Below is Li6Cd2N after structural relaxation, with properties calculated at the GGA-PBE level.

Lattice parameters (Å, degrees): 3.986 5.795 6.685 115.69 90.00 90.00
Element x y z (fractional)
Cd 0.500 0.725 0.449
Cd 0.500 0.275 0.551
Li 0.500 0.808 0.000
Li 0.000 0.656 0.749
Li 0.000 0.906 0.251
Li 0.000 0.344 0.251
Li 0.500 0.192 0.000
Li 0.000 0.094 0.749
N 0.000 0.000 0.000

The calculation puts the uncorrected formation energy at -2.030 eV/f.u. The total magnetization comes out at 0.0 μB per cell.



Below is LiPPtO2 after structural relaxation, with properties calculated at the GGA-PBE level.

Lattice parameters (Å, degrees): 3.518 3.518 5.286 90.00 90.00 90.00
Site moments in Bohr magnetons follow the coordinates.
Element x y z (fractional)
O 0.000 0.500 0.000  1.03
O 0.500 0.000 0.000  1.03
Pt 0.500 0.500 0.500  0.19
P 0.000 0.000 0.500  0.01
Li 0.000 0.000 0.000  -0.02

The energy above the most stable polymorph in this dataset is 316 meV per atom. The calculation puts the uncorrected formation energy at 1.717 eV/f.u. The total magnetization comes out at 2.6 μB per cell.



Below is NaSrSmIn after structural relaxation, with properties calculated at the GGA-PBE level.

Lattice parameters (Å, degrees): 5.689 5.689 5.689 60.00 60.00 60.00
Element x y z (fractional)
In 0.000 0.000 0.000
Sr 0.750 0.750 0.750
Na 0.500 0.500 0.500
Sm 0.250 0.250 0.250

The total magnetization comes out at 0.0 μB per cell. The value obtained for the energy relative to the elements is -0.138 eV/atom.



Below is SrBeHgPb2 after structural relaxation, with properties calculated at the GGA-PBE level.

Lattice parameters (Å, degrees): 6.310 6.042 6.310 90.00 90.00 90.00
Element x y z (fractional)
Be 0.500 0.500 0.500
Sr 0.000 0.000 0.000
Pb 0.000 0.000 0.500
Pb 0.500 0.000 0.000
Hg 0.000 0.500 0.000

The total magnetization comes out at 0.0 μB per cell. The value obtained for the energy relative to the elements is 1.168 eV/atom.



Number 1: energy -2.630 eV/atom. Number 2: energy -4.313 eV/atom. Number 3: energy -2.752 eV/atom. Number 4: energy -1.458 eV/atom.